1.
Here is a relaxed structure of HoEr7Sc4 from Alexandria via LeMat-Bulk. Energies are from PBE.

Magnetization in μB/f.u.: 0.474
Density in g/cm³: 7.18
E in eV per atom: -4.90
Formation energy from the elements in eV/f.u.: 3.1

abc: 15.425 5.690 9.362
angles: 90.00 121.41 90.00
Space group C2/m (No. 12)
Asymmetric unit:
Ho  0.000  0.000  0.000 x2
Er  0.000  0.500  0.000 x2
Er  0.087  0.000  0.442 x4
Er  0.207  0.000  0.881 x4
Er  0.245  0.000  0.280 x4
Sc  0.053  0.500  0.703 x4
Sc  0.170  0.500  0.346 x4

2.
Here is a relaxed structure of HoEr7Sc4 from Alexandria via LeMat-Bulk. Energies are from PBE.

Magnetization in μB/f.u.: 0.000
Density in g/cm³: 7.37
E in eV per atom: -5.14
Formation energy from the elements in eV/f.u.: 0.2

abc: 5.987 6.908 8.493
angles: 89.95 76.36 89.94
Space group P-1 (No. 2)
Asymmetric unit:
Ho  0.000  0.000  0.000 x1
Er  0.000  0.500  0.000 x1
Er  0.223  0.000  0.337 x2
Er  0.283  0.255  0.661 x2
Er  0.497  0.746  0.996 x2
Sc  0.217  0.500  0.340 x2
Sc  0.276  0.746  0.662 x2

3.
Here is a relaxed structure of HoEr12Sc7 from Alexandria via LeMat-Bulk. Energies are from PBE.

Magnetization in μB/f.u.: 5.129
Density in g/cm³: 7.12
E in eV per atom: -5.01
Formation energy from the elements in eV/f.u.: 3.5

abc: 14.5694 14.5694 9.4676
angles: 90.00 90.00 120.00
Space group R-3 (No. 148, hexagonal axes)
Asymmetric unit:
Ho  0.0000  0.0000  0.0000 x3
Er  0.0350  0.2554  0.5808 x18
Er  0.0392  0.1888  0.2569 x18
Sc  0.0000  0.0000  0.5000 x3
Sc  0.0734  0.2473  0.9320 x18

4.
Here is a relaxed structure of Ho2Er4Sc5 from Alexandria via LeMat-Bulk. Energies are from PBE.

Magnetization in μB/f.u.: 0.000
Density in g/cm³: 6.47
E in eV per atom: -5.23
Formation energy from the elements in eV/f.u.: 1.5

abc: 22.634 3.346 8.313
angles: 90.00 93.25 90.00
Space group C2/m (No. 12)
Asymmetric unit:
Ho  0.088  0.000  0.196 x4
Er  0.045  0.500  0.838 x4
Er  0.227  0.000  0.324 x4
Sc  0.000  0.000  0.500 x2
Sc  0.129  0.500  0.538 x4
Sc  0.188  0.500  0.977 x4

5.
Here is a relaxed structure of Ho5Er5Sc from Alexandria via LeMat-Bulk. Energies are from PBE.

Magnetization in μB/f.u.: 1.254
Density in g/cm³: 8.26
E in eV per atom: -4.45
Formation energy from the elements in eV/f.u.: 3.1

abc: 18.572 5.803 6.836
angles: 90.00 111.42 90.00
Space group C2/m (No. 12)
Asymmetric unit:
Ho  0.000  0.000  0.000 x2
Ho  0.176  0.500  0.420 x4
Ho  0.176  0.500  0.932 x4
Er  0.000  0.500  0.500 x2
Er  0.124  0.000  0.626 x4
Er  0.170  0.000  0.171 x4
Sc  0.000  0.500  0.000 x2

6.
Here is a relaxed structure of Ho3Er2Sc2 from Alexandria via LeMat-Bulk. Energies are from PBE.

Magnetization in μB/f.u.: 0.000
Density in g/cm³: 7.49
E in eV per atom: -5.04
Formation energy from the elements in eV/f.u.: 0.3

abc: 5.153 23.116 3.420
angles: 90.00 90.00 90.00
Space group Cmmm (No. 65)
Asymmetric unit:
Ho  0.000  0.000  0.000 x2
Ho  0.000  0.156  0.000 x4
Er  0.000  0.425  0.500 x4
Sc  0.000  0.284  0.500 x4

7.
Here is a relaxed structure of HoEr4Sc7 from Alexandria via LeMat-Bulk. Energies are from PBE.

Magnetization in μB/f.u.: 0.546
Density in g/cm³: 5.66
E in eV per atom: -5.32
Formation energy from the elements in eV/f.u.: 3.3

abc: 11.258 5.503 11.933
angles: 90.00 114.36 90.00
Space group C2/m (No. 12)
Asymmetric unit:
Ho  0.000  0.000  0.000 x2
Er  0.097  0.500  0.295 x4
Er  0.128  0.000  0.773 x4
Sc  0.000  0.500  0.000 x2
Sc  0.129  0.000  0.483 x4
Sc  0.148  0.500  0.617 x4
Sc  0.207  0.500  0.914 x4

8.
Here is a relaxed structure of Ho9ErSc2 from Alexandria via LeMat-Bulk. Energies are from PBE.

Magnetization in μB/f.u.: 0.001
Density in g/cm³: 8.06
E in eV per atom: -4.82
Formation energy from the elements in eV/f.u.: 0.6

abc: 10.9776 10.9776 3.4377
angles: 90.00 90.00 120.00
Space group P6/mmm (No. 191)
Asymmetric unit:
Ho  0.0000  0.5000  0.0000 x3
Ho  0.1785  0.3571  0.5000 x6
Er  0.0000  0.0000  0.0000 x1
Sc  0.3333  0.6667  0.0000 x2